Entry 1:
## LaPrTm2Hg4 (PBE)

Data for an optimized crystal structure of LaPrTm2Hg4.

a b c (Å): 5.366 5.366 9.283
angles (deg): 73.20 73.20 60.00
Element x y z (fractional)
1 La 0.000 0.000 0.000
2 Pr 0.500 0.500 0.500
3 Tm 0.750 0.750 0.749
4 Tm 0.250 0.250 0.251
5 Hg 0.375 0.375 0.874
6 Hg 0.874 0.874 0.377
7 Hg 0.126 0.126 0.623
8 Hg 0.625 0.625 0.126

Magnetic moment ... 0.7 μB per cell
Space-group type ... No. 166
Total DFT energy (no corrections) ... -23.53 eV/f.u.
Formation energy ... -0.46 eV/atom
Density of states at the Fermi level ... 1.028 states/eV/atom

=====

Entry 2:
## CdNiBr4 (PBE)

Data for an optimized crystal structure of CdNiBr4.

a b c (Å): 3.847 7.837 6.804
angles (deg): 67.38 90.00 104.21
Element x y z (fractional)
1 Cd 0.000 0.000 0.000
2 Ni 0.500 0.000 0.500
3 Br 0.391 0.782 0.902
4 Br 0.103 0.206 0.554
5 Br 0.609 0.218 0.098
6 Br 0.897 0.794 0.446

Magnetic moment ... 1.9 μB per cell
Space-group type ... No. 12
Total DFT energy (no corrections) ... -16.81 eV/f.u.
Uncorrected formation energy ... -0.57 eV per atom

=====

Entry 3:
## FeTcW2 (PBE)

Data for an optimized crystal structure of FeTcW2.

a b c (Å): 2.688 2.688 8.021
angles (deg): 90.00 90.00 90.00
Element x y z (fractional)
1 Fe 0.000 0.000 0.511
2 Tc 0.500 0.500 0.718
3 W 0.000 0.000 0.993
4 W 0.500 0.500 0.278

Magnetic moment ... 0.3 μB per cell
Space-group type ... No. 99
Total DFT energy (no corrections) ... -44.01 eV/f.u.
Formation energy ... 0.18 eV/atom
Density of states at the Fermi level ... 0.776 states/eV/atom

=====

Entry 4:
## TlIn3Sn2S8 (PBE)

Data for an optimized crystal structure of TlIn3Sn2S8.

a b c (Å): 7.932 7.932 8.193
angles (deg): 61.05 61.05 60.00
Element x y z (fractional)
1 Tl 0.874 0.874 0.378
2 In 0.500 0.000 0.001
3 In 0.000 0.500 0.001
4 In 0.500 0.500 0.001
5 Sn 0.122 0.122 0.633
6 Sn 0.501 0.501 0.496
7 S 0.267 0.267 0.200
8 S 0.735 0.735 0.795
9 S 0.248 0.248 0.783
10 S 0.721 0.248 0.783
11 S 0.248 0.721 0.783
12 S 0.744 0.289 0.223
13 S 0.289 0.744 0.223
14 S 0.744 0.744 0.223

Magnetic moment ... 0.0 μB per cell
Space-group type ... No. 160
Total DFT energy (no corrections) ... -57.04 eV/f.u.
Uncorrected formation energy ... -0.39 eV per atom
Density of states at the Fermi level ... 0.461 states/eV/atom